BaYPb2 | the Alexandria database | PBE | optimized geometry; symmetry = No. 35; DFT formation energy = -0.12 eV per atom; calculated density = 7.27 g/cm³; Fermi-level density of states = 1.2655 states/eV per atom
1.0
-3.945 0.026 -0.764
-0.562 -2.886 2.740
-1.196 6.304 6.395
Ba Pb Y
1 2 1
Cartesian
-3.178 3.441 5.929
-0.063 0.334 0.338
-2.542 0.086 2.526
-0.519 2.736 2.775